Entry from Alexandria: an optimized crystal structure of BeTeMo2 (PBE).

For the energy above the most stable polymorph in this dataset, the calculation gives 0.000 eV per formula unit. For the uncorrected formation energy, the calculation gives 137 meV per atom. As for the total energy: -6.996 eV per atom.

It has space group P4mm (No. 99), with a = 3.2502 Å, b = 3.2502 Å, c = 5.9679 Å, α = 90.00°, β = 90.00° and γ = 90.00°. The distinct sites, in fractional coordinates, are Be at (0.0000, 0.0000, 0.0000), Te at (0.5000, 0.5000, 0.6962), Mo at (0.0000, 0.0000, 0.4230) and Mo at (0.5000, 0.5000, 0.1576).


Entry from Alexandria: an optimized crystal structure of Be2TeMo (PBE).

For the uncorrected formation energy, the calculation gives 445 meV per atom. As for the total energy: -4.911 eV per atom.

It has space group C2/m (No. 12), with a = 8.5768 Å, b = 3.6060 Å, c = 4.2663 Å, α = 90.00°, β = 90.14° and γ = 90.00°. The distinct sites, in fractional coordinates, are Be at (0.1978, 0.0000, 0.0008), Te at (0.0000, 0.0000, 0.5000) and Mo at (0.0000, 0.5000, 0.0000).


Entry from Alexandria: an optimized crystal structure of BeTeMo (PBE).

For the energy above the most stable polymorph in this dataset, the calculation gives 1.808 eV per formula unit. For the uncorrected formation energy, the calculation gives 735 meV per atom. As for the total energy: -5.165 eV per atom.

It has space group F-43m (No. 216), with a = 6.1207 Å, b = 6.1207 Å, c = 6.1207 Å, α = 90.00°, β = 90.00° and γ = 90.00°. The distinct sites, in fractional coordinates, are Be at (0.0000, 0.0000, 0.0000), Te at (0.0000, 0.0000, 0.5000) and Mo at (0.2500, 0.2500, 0.7500).


Entry from Alexandria: an optimized crystal structure of Be2TeMo (PBE).

For the uncorrected formation energy, the calculation gives 456 meV per atom. As for the total energy: -4.900 eV per atom.

It has space group Pmmm (No. 47), with a = 3.5112 Å, b = 3.5910 Å, c = 4.4801 Å, α = 90.00°, β = 90.00° and γ = 90.00°. The distinct sites, in fractional coordinates, are Be at (0.0000, 0.0000, 0.0000), Be at (0.0000, 0.5000, 0.5000), Te at (0.5000, 0.0000, 0.5000) and Mo at (0.5000, 0.5000, 0.0000).


Entry from Alexandria: an optimized crystal structure of Be2TeMo (PBE).

For the uncorrected formation energy, the calculation gives 792 meV per atom. As for the total energy: -4.564 eV per atom.

It has space group I-42d (No. 122), with a = 6.7113 Å, b = 6.7113 Å, c = 5.4675 Å, α = 90.00°, β = 90.00° and γ = 90.00°. The distinct sites, in fractional coordinates, are Be at (0.2483, 0.2500, 0.1250), Te at (0.0000, 0.0000, 0.0000) and Mo at (0.0000, 0.0000, 0.5000).


Entry from Alexandria: an optimized crystal structure of Be2TeMo (PBE).

For the uncorrected formation energy, the calculation gives 539 meV per atom. As for the total energy: -4.817 eV per atom.

It has space group Immm (No. 71), with a = 3.4433 Å, b = 4.1492 Å, c = 8.0045 Å, α = 90.00°, β = 90.00° and γ = 90.00°. The distinct sites, in fractional coordinates, are Be at (0.0000, 0.0000, 0.2447), Te at (0.0000, 0.5000, 0.0000) and Mo at (0.0000, 0.5000, 0.5000).


Entry from Alexandria: an optimized crystal structure of BeTeMo2 (PBE).

For the energy above the most stable polymorph in this dataset, the calculation gives 0.860 eV per formula unit. For the uncorrected formation energy, the calculation gives 352 meV per atom. As for the total energy: -6.781 eV per atom.

It has space group P4/mmm (No. 123), with a = 3.2272 Å, b = 3.2272 Å, c = 6.1021 Å, α = 90.00°, β = 90.00° and γ = 90.00°. The distinct sites, in fractional coordinates, are Be at (0.0000, 0.0000, 0.0000), Te at (0.0000, 0.0000, 0.5000) and Mo at (0.5000, 0.5000, 0.2006).


Entry from Alexandria: an optimized crystal structure of Be2TeMo (PBE).

For the uncorrected formation energy, the calculation gives 351 meV per atom. As for the total energy: -5.005 eV per atom.

It has space group P4mm (No. 99), with a = 3.3356 Å, b = 3.3356 Å, c = 5.2345 Å, α = 90.00°, β = 90.00° and γ = 90.00°. The distinct sites, in fractional coordinates, are Be at (0.0000, 0.0000, 0.0000), Be at (0.5000, 0.5000, 0.1942), Te at (0.5000, 0.5000, 0.7142) and Mo at (0.0000, 0.0000, 0.4427).


Computed DOS(E_F) (states/eV/f.u.) in order:
1.51; 2.14; 1.72; 2.86; 3.22; 1.76; 3.00; 1.33